[1]
Entry from the Alexandria database: a relaxed Er4Mg9Sn11 crystal (PBE).

* VASP energy: -3.4262 eV per atom
* N(E_F): 0.514 states/eV/atom
* magnetic moment: 0.00 μB/cell
* energy of formation: -0.233 eV/atom

Cell and atoms, written as CIF:
```
data_Er4Mg9Sn11
_cell_length_a 3.4242
_cell_length_b 13.6743
_cell_length_c 13.6743
_cell_angle_alpha 111.45
_cell_angle_beta 90.00
_cell_angle_gamma 90.00
_space_group_name_H-M_alt 'P 1'
_space_group_IT_number 1
loop_
_space_group_symop_operation_xyz
'x,y,z'
loop_
_atom_site_label
_atom_site_fract_x
_atom_site_fract_y
_atom_site_fract_z
_atom_site_occupancy
Er1 0.5000 0.5822 0.7560 1
Er2 0.5000 0.4178 0.2440 1
Er3 0.5000 0.7560 0.5822 1
Er4 0.5000 0.2440 0.4178 1
Mg1 0.5000 0.6197 0.1666 1
Mg2 0.5000 0.3803 0.8334 1
Mg3 0.5000 0.1666 0.6197 1
Mg4 0.5000 0.8334 0.3803 1
Mg5 0.5000 0.7996 0.9866 1
Mg6 0.5000 0.2004 0.0134 1
Mg7 0.5000 0.9866 0.7996 1
Mg8 0.5000 0.0134 0.2004 1
Mg9 0.5000 0.5000 0.5000 1
Sn1 0.0000 0.5916 0.9588 1
Sn2 0.0000 0.4084 0.0412 1
Sn3 0.0000 0.9588 0.5916 1
Sn4 0.0000 0.0412 0.4084 1
Sn5 0.0000 0.6219 0.3781 1
Sn6 0.0000 0.3781 0.6219 1
Sn7 0.0000 0.8167 0.1833 1
Sn8 0.0000 0.1833 0.8167 1
Sn9 0.0000 0.0000 0.0000 1
Sn10 0.0000 0.7886 0.7886 1
Sn11 0.0000 0.2114 0.2114 1
```

=====

[2]
Entry from the Alexandria database: a relaxed ErMg2Sn3 crystal (PBE).

* E above lowest polymorph: 0 meV per atom
* VASP energy: -3.6398 eV per atom
* N(E_F): 0.328 states/eV/atom
* magnetic moment: 0.00 μB/cell
* energy of formation: -0.346 eV/atom

Cell and atoms, written as CIF:
```
data_ErMg2Sn3
_cell_length_a 4.3359
_cell_length_b 4.6713
_cell_length_c 7.5755
_cell_angle_alpha 107.96
_cell_angle_beta 90.00
_cell_angle_gamma 90.00
_space_group_name_H-M_alt 'P 1'
_space_group_IT_number 1
loop_
_space_group_symop_operation_xyz
'x,y,z'
loop_
_atom_site_label
_atom_site_fract_x
_atom_site_fract_y
_atom_site_fract_z
_atom_site_occupancy
Er1 0.0000 0.0000 0.0000 1
Mg1 0.0000 0.6694 0.3387 1
Mg2 0.0000 0.3306 0.6613 1
Sn1 0.5000 0.1685 0.3370 1
Sn2 0.5000 0.5000 0.0000 1
Sn3 0.5000 0.8315 0.6630 1
```

=====

[3]
Entry from the Alexandria database: a relaxed Er6Mg5Sn crystal (PBE).

* VASP energy: -3.4728 eV per atom
* N(E_F): 1.002 states/eV/atom
* magnetic moment: 0.00 μB/cell
* energy of formation: -0.193 eV/atom

Cell and atoms, written as CIF:
```
data_Er6Mg5Sn
_cell_length_a 5.3118
_cell_length_b 7.4410
_cell_length_c 8.4134
_cell_angle_alpha 90.00
_cell_angle_beta 71.60
_cell_angle_gamma 90.00
_space_group_name_H-M_alt 'P 1'
_space_group_IT_number 1
loop_
_space_group_symop_operation_xyz
'x,y,z'
loop_
_atom_site_label
_atom_site_fract_x
_atom_site_fract_y
_atom_site_fract_z
_atom_site_occupancy
Mg1 0.6663 0.5000 0.6674 1
Mg2 0.3277 0.0000 0.3446 1
Mg3 0.0000 0.5000 0.0000 1
Mg4 0.6723 0.0000 0.6554 1
Mg5 0.3337 0.5000 0.3326 1
Sn1 0.0000 0.0000 0.0000 1
Er1 0.8337 0.7484 0.3326 1
Er2 0.8337 0.2516 0.3326 1
Er3 0.5000 0.2488 0.0000 1
Er4 0.5000 0.7512 0.0000 1
Er5 0.1663 0.7484 0.6674 1
Er6 0.1663 0.2516 0.6674 1
```

=====

[4]
Entry from the Alexandria database: a relaxed Er3Mg2Sn3 crystal (PBE).

* VASP energy: -4.1039 eV per atom
* N(E_F): 0.728 states/eV/atom
* magnetic moment: 0.00 μB/cell
* energy of formation: -0.493 eV/atom

Cell and atoms, written as CIF:
```
data_Er3Mg2Sn3
_cell_length_a 6.2042
_cell_length_b 8.7695
_cell_length_c 8.7695
_cell_angle_alpha 120.00
_cell_angle_beta 90.00
_cell_angle_gamma 90.00
_space_group_name_H-M_alt 'P 1'
_space_group_IT_number 1
loop_
_space_group_symop_operation_xyz
'x,y,z'
loop_
_atom_site_label
_atom_site_fract_x
_atom_site_fract_y
_atom_site_fract_z
_atom_site_occupancy
Er1 0.7500 0.2491 0.0000 1
Er2 0.7500 0.7509 0.7509 1
Er3 0.7500 0.0000 0.2491 1
Er4 0.2500 0.7509 0.0000 1
Er5 0.2500 0.2491 0.2491 1
Er6 0.2500 0.0000 0.7509 1
Mg1 0.0000 0.3333 0.6667 1
Mg2 0.5000 0.6667 0.3333 1
Mg3 0.0000 0.6667 0.3333 1
Mg4 0.5000 0.3333 0.6667 1
Sn1 0.7500 0.6062 0.0000 1
Sn2 0.7500 0.3938 0.3938 1
Sn3 0.7500 0.0000 0.6062 1
Sn4 0.2500 0.3938 0.0000 1
Sn5 0.2500 0.6062 0.6062 1
Sn6 0.2500 0.0000 0.3938 1
```

=====

> Among the records above, which one has the lowest energy of formation?

Er3Mg2Sn3

=====

> Number 4 is which compound?

Er3Mg2Sn3

=====

> What is the energy of formation in the fourth record?

-0.493 eV/atom